The following is a GGA-PBE calculation of a relaxed structure of LaTiAg2, from Alexandria.

Properties
energy relative to the lowest polymorph listed for this composition: 36.5 kJ/mol of atoms
size of the total moment: 3.70 Bohr magnetons per cell

Geometry as POSCAR:
```
LaTiAg2
1.0
-0.607 -0.459 4.571
4.576 -0.470 0.560
2.840 9.143 3.644
Ag La Ti
4 2 2
Direct
0.375 0.462 0.750
0.212 0.625 0.250
0.875 0.788 0.750
0.538 0.125 0.250
0.750 0.250 0.500
0.000 0.000 0.000
0.250 0.750 0.500
0.500 0.500 0.000
```

The following is a GGA-PBE calculation of a relaxed structure of Sm2DyThBi4, from Alexandria.

Properties
uncorrected energy: -5.4541 eV/atom
size of the total moment: 0.00 Bohr magnetons per cell

Geometry as POSCAR:
```
Sm2DyThBi4
1.0
4.558 0.000 0.000
0.000 7.866 0.131
0.000 -2.754 7.385
Th Bi Sm Dy
1 4 2 1
Direct
0.500 0.500 0.000
0.000 0.246 0.750
0.000 0.754 0.250
0.500 0.245 0.247
0.500 0.755 0.753
0.000 0.500 0.500
0.500 0.000 0.500
0.000 0.000 0.000
```

The following is a GGA-PBE calculation of a relaxed structure of Na2Sn3Au, from Alexandria.

Properties
energy relative to the lowest polymorph listed for this composition: 5.9 kJ/mol of atoms
size of the total moment: 0.00 Bohr magnetons per cell

Geometry as POSCAR:
```
Na2Sn3Au
1.0
-3.270 -0.644 4.990
2.615 -3.502 4.111
4.349 9.260 -0.987
Sn Na Au
6 4 2
Direct
0.827 0.827 0.172
0.826 0.826 0.651
0.174 0.174 0.349
0.173 0.173 0.828
0.655 0.655 0.828
0.345 0.345 0.172
0.750 0.250 0.500
0.250 0.750 0.500
0.751 0.249 0.000
0.249 0.751 0.000
0.331 0.331 0.662
0.669 0.669 0.338
```

The following is a GGA-PBE calculation of a relaxed structure of Cs2Mg2ScSe4, from Alexandria.

Properties
size of the total moment: 0.97 Bohr magnetons per cell
formation energy without anion corrections: -1269 meV per atom

Geometry as POSCAR:
```
Cs2Mg2ScSe4
1.0
4.247 0.000 0.000
0.000 8.396 0.576
-2.123 -2.756 7.471
Se Sc Mg Cs
4 1 2 2
Direct
0.801 0.837 0.602
0.516 0.784 0.031
0.484 0.216 0.969
0.199 0.163 0.398
0.000 0.000 0.000
0.331 0.022 0.662
0.669 0.978 0.338
0.127 0.541 0.254
0.873 0.459 0.746
```

The following is a GGA-PBE calculation of a relaxed structure of KAg3Se2, from Alexandria.

Properties
size of the total moment: 0.00 Bohr magnetons per cell
formation energy without anion corrections: -416 meV per atom

Geometry as POSCAR:
```
KAg3Se2
1.0
4.415 0.003 -0.003
-2.213 8.352 -0.115
0.006 -3.698 8.105
Ag K Se
6 2 4
Direct
0.593 0.187 0.648
0.313 0.626 0.567
0.944 0.888 0.600
0.687 0.374 0.433
0.056 0.112 0.400
0.407 0.813 0.352
0.137 0.273 0.050
0.863 0.727 0.950
0.486 0.971 0.793
0.514 0.029 0.207
0.798 0.596 0.293
0.202 0.404 0.707
```

The following is a GGA-PBE calculation of a relaxed structure of YZrAl2, from Alexandria.

Properties
energy relative to the lowest polymorph listed for this composition: 5.3 kJ/mol of atoms
size of the total moment: 0.00 Bohr magnetons per cell

Geometry as POSCAR:
```
YZrAl2
1.0
-1.552 -5.152 2.242
4.144 -3.495 2.143
-2.116 5.414 0.442
Al Zr Y
2 1 1
Direct
0.225 0.725 0.500
0.032 0.032 0.000
0.753 0.253 0.500
0.489 0.489 0.000
```

Number 1: volume 26.1 Å³ per atom. Number 2: volume 33.3 Å³ per atom. Number 3: volume 24.7 Å³ per atom. Number 4: volume 30.3 Å³ per atom. Number 5: volume 24.8 Å³ per atom. Number 6: volume 21.7 Å³ per atom.